Version one
Computed, not measured: crystalline SbPbAu3 at its relaxed geometry at the PBE level of DFT.

The structure belongs to space group Pmn2_1 (No. 31); the cell edges are 5.817, 6.902 and 6.051 Å and the angles 90.00°, 90.00° and 90.00°. Symmetry generates all atoms from Sb at (0.000, 0.103, 0.000), Pb at (0.000, 0.662, 0.325), Au at (0.000, 0.426, 0.731) and Au at (0.250, 0.231, 0.365).

The value obtained for the total magnetization is 0.0 μB/cell.

Version two
Computed, not measured: crystalline SbPbAu3 at its relaxed geometry at the PBE level of DFT.

The structure belongs to space group Pm-3m (No. 221); the cell edges are 5.232, 5.232 and 5.232 Å and the angles 90.00°, 90.00° and 90.00°. Symmetry generates all atoms from Sb at (0.000, 0.000, 0.000), Pb at (0.500, 0.500, 0.500) and Au at (0.000, 0.000, 0.500).

The value obtained for the total magnetization is 0.0 μB/cell.

The least stable of them is version two.

Version one
Computed, not measured: crystalline Sb3PbAu3 at its relaxed geometry at the PBE level of DFT.

The structure belongs to space group P-1 (No. 2); the cell edges are 7.844, 7.865 and 7.985 Å and the angles 63.47°, 62.85° and 85.42°. Symmetry generates all atoms from Sb at (0.036, 0.305, 0.054), Sb at (0.251, 0.670, 0.380), Sb at (0.359, 0.267, 0.355), Pb at (0.319, 0.996, 0.887), Au at (0.059, 0.289, 0.707), Au at (0.318, 0.838, 0.586) and Au at (0.425, 0.341, 0.955).

The value obtained for the total magnetization is 0.0 μB/cell.

Version two
Computed, not measured: crystalline Sb3PbAu3 at its relaxed geometry at the PBE level of DFT.

The structure belongs to space group Pm-3n (No. 223); the cell edges are 7.610, 7.610 and 7.610 Å and the angles 90.00°, 90.00° and 90.00°. Symmetry generates all atoms from Sb at (0.000, 0.250, 0.500), Pb at (0.000, 0.000, 0.000) and Au at (0.000, 0.500, 0.250).

The value obtained for the total magnetization is 0.0 μB/cell.

The least stable of them is version two.

Version one
Computed, not measured: crystalline SbPbAu4 at its relaxed geometry at the PBE level of DFT.

The structure belongs to space group F-43m (No. 216); the cell edges are 8.062, 8.062 and 8.062 Å and the angles 90.00°, 90.00° and 90.00°. Symmetry generates all atoms from Sb at (0.000, 0.000, 0.000), Pb at (0.250, 0.250, 0.750) and Au at (0.125, 0.125, 0.375).

The value obtained for the total magnetization is 0.0 μB/cell.

Version two
Computed, not measured: crystalline SbPbAu4 at its relaxed geometry at the PBE level of DFT.

The structure belongs to space group C2/m (No. 12); the cell edges are 5.981, 5.254 and 8.513 Å and the angles 90.00°, 90.51° and 90.00°. Symmetry generates all atoms from Sb at (0.000, 0.000, 0.000), Pb at (0.000, 0.500, 0.500), Au at (0.038, 0.000, 0.330) and Au at (0.077, 0.500, 0.159).

The value obtained for the total magnetization is 0.0 μB/cell.

The least stable of them is version two.

Version one
Computed, not measured: crystalline SbPb2Au2 at its relaxed geometry at the PBE level of DFT.

The structure belongs to space group I4/mmm (No. 139); the cell edges are 4.632, 4.632 and 12.648 Å and the angles 90.00°, 90.00° and 90.00°. Symmetry generates all atoms from Sb at (0.000, 0.000, 0.000), Pb at (0.000, 0.500, 0.250) and Au at (0.000, 0.000, 0.396).

The value obtained for the total magnetization is 0.0 μB/cell.

Version two
Computed, not measured: crystalline SbPb2Au2 at its relaxed geometry at the PBE level of DFT.

The structure belongs to space group Immm (No. 71); the cell edges are 4.482, 6.372 and 9.135 Å and the angles 90.00°, 90.00° and 90.00°. Symmetry generates all atoms from Sb at (0.000, 0.000, 0.000), Pb at (0.000, 0.500, 0.204) and Au at (0.000, 0.217, 0.500).

The value obtained for the total magnetization is 0.0 μB/cell.

Version three
Computed, not measured: crystalline SbPb2Au2 at its relaxed geometry at the PBE level of DFT.

The structure belongs to space group P4/mbm (No. 127); the cell edges are 8.722, 8.722 and 3.470 Å and the angles 90.00°, 90.00° and 90.00°. Symmetry generates all atoms from Sb at (0.000, 0.000, 0.000), Pb at (0.187, 0.313, 0.000) and Au at (0.114, 0.614, 0.500).

The value obtained for the total magnetization is 0.0 μB/cell.

The least stable of them is version one.

Version one
Computed, not measured: crystalline SbPb2Au2 at its relaxed geometry at the PBE level of DFT.

The structure belongs to space group C2/m (No. 12); the cell edges are 12.030, 4.512 and 11.122 Å and the angles 90.00°, 120.65° and 90.00°. Symmetry generates all atoms from Sb at (0.200, 0.000, 0.342), Pb at (0.031, 0.500, 0.682), Pb at (0.194, 0.500, 0.092), Au at (0.046, 0.000, 0.900) and Au at (0.137, 0.000, 0.562).

The value obtained for the total magnetization is 0.0 μB/cell.

Version two
Computed, not measured: crystalline SbPb2Au2 at its relaxed geometry at the PBE level of DFT.

The structure belongs to space group P4/mbm (No. 127); the cell edges are 7.575, 7.575 and 4.490 Å and the angles 90.00°, 90.00° and 90.00°. Symmetry generates all atoms from Sb at (0.000, 0.000, 0.000), Pb at (0.170, 0.330, 0.500) and Au at (0.133, 0.633, 0.000).

The value obtained for the total magnetization is 0.0 μB/cell.

The least stable of them is version two.

Version one
Computed, not measured: crystalline Sb2Pb8Au at its relaxed geometry at the PBE level of DFT.

The structure belongs to space group C2/m (No. 12); the cell edges are 19.324, 4.190 and 8.577 Å and the angles 90.00°, 100.15° and 90.00°. Symmetry generates all atoms from Sb at (0.177, 0.000, 0.269), Pb at (0.009, 0.000, 0.265), Pb at (0.092, 0.500, 0.008), Pb at (0.152, 0.500, 0.533), Pb at (0.209, 0.000, 0.855) and Au at (0.000, 0.500, 0.500).

The value obtained for the total magnetization is 0.0 μB/cell.

Version two
Computed, not measured: crystalline Sb2Pb8Au at its relaxed geometry at the PBE level of DFT.

The structure belongs to space group C2/m (No. 12); the cell edges are 12.720, 10.335 and 5.901 Å and the angles 90.00°, 108.80° and 90.00°. Symmetry generates all atoms from Sb at (0.144, 0.000, 0.472), Pb at (0.075, 0.500, 0.312), Pb at (0.085, 0.225, 0.787), Pb at (0.229, 0.500, 0.908) and Au at (0.000, 0.000, 0.000).

The value obtained for the total magnetization is 0.0 μB/cell.

The least stable of them is version two.